Entry 1:
# CuSeO4

Crystalline CuSeO4 at its relaxed geometry (GGA-PBE, the Alexandria database).

Its spin magnetization is 1.020 μB per formula unit. The calculated density is 3.76 g/cm³. As for the total energy: -122.05 eV per cell. The calculation puts the volume at 15.206 Å³/atom.

The structure belongs to space group C222_1 (No. 20); the cell edges are 5.609, 8.261 and 7.876 Å and the angles 90.00°, 90.00° and 90.00°. The inequivalent atoms are Cu at (0.000, 0.207, 0.250), Se at (0.121, 0.500, 0.500), O at (0.055, 0.341, 0.050) and O at (0.213, 0.035, 0.174).

=====

Entry 2:
# YCuGe2P

Crystalline YCuGe2P at its relaxed geometry (GGA-PBE, the Alexandria database).

Its spin magnetization is 0.000 μB per formula unit. The calculated density is 3.75 g/cm³. As for the total energy: -18.78 eV per cell. The calculation puts the volume at 29.138 Å³/atom. The formation energy comes out at 1.2855 eV/atom.

The structure belongs to space group P4/mmm (No. 123); the cell edges are 5.402, 5.402 and 4.993 Å and the angles 90.00°, 90.00° and 90.00°. The inequivalent atoms are Y at (0.000, 0.000, 0.000), Cu at (0.000, 0.000, 0.500), Ge at (0.000, 0.500, 0.000) and P at (0.500, 0.500, 0.500).

=====

- Among the records above, which one has the highest calculated density?
  CuSeO4

=====

- The lowest calculated density belongs to which entry?
  YCuGe2P

=====

Copy entry 2 word for word.
# YCuGe2P

Crystalline YCuGe2P at its relaxed geometry (GGA-PBE, the Alexandria database).

Its spin magnetization is 0.000 μB per formula unit. The calculated density is 3.75 g/cm³. As for the total energy: -18.78 eV per cell. The calculation puts the volume at 29.138 Å³/atom. The formation energy comes out at 1.2855 eV/atom.

The structure belongs to space group P4/mmm (No. 123); the cell edges are 5.402, 5.402 and 4.993 Å and the angles 90.00°, 90.00° and 90.00°. The inequivalent atoms are Y at (0.000, 0.000, 0.000), Cu at (0.000, 0.000, 0.500), Ge at (0.000, 0.500, 0.000) and P at (0.500, 0.500, 0.500).